(1)
DFT (GGA-PBE) results for crystalline NaCo2TcB at its relaxed geometry.

Computed properties:
Total DFT energy (no corrections) ... -3.71 eV/atom
Density of states at the Fermi level ... 7.12 states/eV/f.u.
Space group ... No. 123
Crystal system ... tetragonal
Calculated formation energy ... 64.8 kcal/mol of atoms

abc: 4.1437 4.6127 4.1437
angles: 90.00 90.00 90.00
Each line ends with the local moment (μB).
Fractional positions:
Co 0.0000 0.0000 0.5000  1.85
Co 0.5000 0.0000 0.0000  1.55
B 0.5000 0.5000 0.5000  -0.12
Tc 0.0000 0.5000 0.0000  1.88
Na 0.0000 0.0000 0.0000  -0.02


(2)
DFT (GGA-PBE) results for crystalline NbCo2B at its relaxed geometry.

Computed properties:
Total DFT energy (no corrections) ... -7.96 eV/atom
Density of states at the Fermi level ... 3.82 states/eV/f.u.
Space group ... No. 59
Crystal system ... orthorhombic
Calculated formation energy ... -5.0 kcal/mol of atoms

abc: 3.5928 4.8110 5.1813
angles: 90.00 90.00 90.00
Fractional positions:
Co 0.5000 0.7372 0.1468
Co 0.5000 0.2628 0.1468
Co 0.0000 0.7628 0.8532
Co 0.0000 0.2372 0.8532
B 0.0000 0.5000 0.1976
B 0.5000 0.0000 0.8024
Nb 0.5000 0.5000 0.6050
Nb 0.0000 0.0000 0.3950


(3)
DFT (GGA-PBE) results for crystalline NbCoB at its relaxed geometry.

Computed properties:
Total DFT energy (no corrections) ... -8.29 eV/atom
Density of states at the Fermi level ... 2.36 states/eV/f.u.
Space group ... No. 44
Crystal system ... orthorhombic
Calculated formation energy ... -7.7 kcal/mol of atoms

abc: 3.3792 4.8209 4.8209
angles: 83.75 69.48 69.48
Fractional positions:
Nb 0.0000 0.5887 0.4113
Nb 0.5000 0.1767 0.8233
Co 0.3013 0.0144 0.3829
Co 0.6987 0.6171 0.9856
B 0.2419 0.7495 0.7668
B 0.7581 0.2332 0.2505


(4)
DFT (GGA-PBE) results for crystalline Nb2CoB2 at its relaxed geometry.

Computed properties:
Excess energy over the best structure of this formula in the dataset ... 1062 meV/atom
Total DFT energy (no corrections) ... -7.69 eV/atom
Density of states at the Fermi level ... 6.70 states/eV/f.u.
Space group ... No. 139
Crystal system ... tetragonal
Calculated formation energy ... 9.9 kcal/mol of atoms

abc: 3.7751 3.7751 5.3045
angles: 69.16 69.16 90.00
Fractional positions:
Nb 0.7500 0.2500 0.5000
Nb 0.2500 0.7500 0.5000
B 0.4138 0.4138 0.1724
B 0.5862 0.5862 0.8276
Co 0.0000 0.0000 0.0000


(5)
DFT (GGA-PBE) results for crystalline Nb3Co4B7 at its relaxed geometry.

Computed properties:
Total DFT energy (no corrections) ... -8.12 eV/atom
Density of states at the Fermi level ... 9.27 states/eV/f.u.
Space group ... No. 63
Crystal system ... orthorhombic
Calculated formation energy ... -13.7 kcal/mol of atoms

abc: 9.3320 9.3320 8.8884
angles: 90.00 90.00 160.20
Fractional positions:
Nb 0.5809 0.4191 0.9452
Nb 0.4191 0.5809 0.4452
Nb 0.4191 0.5809 0.0548
Nb 0.6975 0.3025 0.2500
Nb 0.5809 0.4191 0.5548
Nb 0.3025 0.6975 0.7500
Co 0.5420 0.4580 0.2500
Co 0.8008 0.1992 0.9945
Co 0.1992 0.8008 0.0055
Co 0.1992 0.8008 0.4945
Co 0.1564 0.8436 0.7500
Co 0.4580 0.5420 0.7500
Co 0.8008 0.1992 0.5055
Co 0.8436 0.1564 0.2500
B 0.9847 0.0153 0.5934
B 0.9847 0.0153 0.9066
B 0.8902 0.1098 0.8526
B 0.0153 0.9847 0.0934
B 0.2901 0.7099 0.3555
B 0.1098 0.8902 0.3526
B 0.1098 0.8902 0.1474
B 0.7099 0.2901 0.6445
B 0.7099 0.2901 0.8555
B 0.9552 0.0448 0.2500
B 0.2901 0.7099 0.1445
B 0.0153 0.9847 0.4066
B 0.0448 0.9552 0.7500
B 0.8902 0.1098 0.6474


(6)
DFT (GGA-PBE) results for crystalline NbCo2B at its relaxed geometry.

Computed properties:
Total DFT energy (no corrections) ... -7.73 eV/atom
Density of states at the Fermi level ... 2.21 states/eV/f.u.
Space group ... No. 122
Crystal system ... tetragonal
Calculated formation energy ... 0.3 kcal/mol of atoms

abc: 6.3132 6.3132 5.0526
angles: 51.34 51.34 90.00
Fractional positions:
Co 0.3750 0.4724 0.7500
Co 0.2224 0.6250 0.2500
Co 0.8750 0.7776 0.7500
Co 0.5276 0.1250 0.2500
Nb 0.0000 0.0000 0.0000
Nb 0.7500 0.2500 0.5000
B 0.2500 0.7500 0.5000
B 0.5000 0.5000 0.0000


(7)
DFT (GGA-PBE) results for crystalline Nb2CoB2 at its relaxed geometry.

Computed properties:
Excess energy over the best structure of this formula in the dataset ... 43 meV/atom
Total DFT energy (no corrections) ... -8.71 eV/atom
Density of states at the Fermi level ... 3.32 states/eV/f.u.
Space group ... No. 127
Crystal system ... tetragonal
Calculated formation energy ... -13.6 kcal/mol of atoms

abc: 5.8503 5.8503 3.3348
angles: 90.00 90.00 90.00
Each line ends with the local moment (μB).
Fractional positions:
B 0.8908 0.6092 0.0000  0.00
B 0.1092 0.3908 0.0000  0.00
B 0.6092 0.1092 0.0000  0.00
B 0.3908 0.8908 0.0000  0.00
Nb 0.3185 0.1815 0.5000  0.14
Nb 0.8185 0.3185 0.5000  0.14
Nb 0.6815 0.8185 0.5000  0.14
Nb 0.1815 0.6815 0.5000  0.14
Co 0.5000 0.5000 0.0000  1.13
Co 0.0000 0.0000 0.0000  1.12


(8)
DFT (GGA-PBE) results for crystalline NbCoB at its relaxed geometry.

Computed properties:
Total DFT energy (no corrections) ... -8.13 eV/atom
Density of states at the Fermi level ... 1.65 states/eV/f.u.
Space group ... No. 107
Crystal system ... tetragonal
Calculated formation energy ... -4.1 kcal/mol of atoms

abc: 2.6691 2.6691 5.0749
angles: 105.25 105.25 90.00
Each line ends with the local moment (μB).
Fractional positions:
B 0.9224 0.9224 0.8447  -0.01
Nb 0.6042 0.6042 0.2085  0.01
Co 0.3234 0.3234 0.6468  0.24


(9)
DFT (GGA-PBE) results for crystalline NbCo4B2 at its relaxed geometry.

Computed properties:
Total DFT energy (no corrections) ... -7.72 eV/atom
Density of states at the Fermi level ... 6.91 states/eV/f.u.
Space group ... No. 65
Crystal system ... orthorhombic
Calculated formation energy ... -7.2 kcal/mol of atoms

abc: 3.3850 3.3861 6.3359
angles: 105.50 90.00 90.00
Each line ends with the local moment (μB).
Fractional positions:
Nb 0.0000 0.0000 0.0000  0.04
B 0.5000 0.5728 0.1457  -0.04
B 0.5000 0.4272 0.8543  -0.04
Co 0.5000 0.1769 0.3537  0.86
Co 0.0000 0.6775 0.3550  0.93
Co 0.5000 0.8231 0.6463  0.86
Co 0.0000 0.3225 0.6450  0.93


(10)
DFT (GGA-PBE) results for crystalline Nb3CoB4 at its relaxed geometry.

Computed properties:
Total DFT energy (no corrections) ... -8.49 eV/atom
Density of states at the Fermi level ... 2.64 states/eV/f.u.
Space group ... No. 71
Crystal system ... orthorhombic
Calculated formation energy ... -11.1 kcal/mol of atoms

abc: 3.3676 4.6523 6.4858
angles: 111.02 105.05 90.00
Fractional positions:
B 0.3762 0.1878 0.7523
B 0.6238 0.4355 0.2477
B 0.3762 0.5645 0.7523
B 0.6238 0.8122 0.2477
Nb 0.1889 0.1889 0.3778
Nb 0.8111 0.8111 0.6222
Nb 0.0000 0.5000 0.0000
Co 0.5000 0.0000 0.0000


(11)
DFT (GGA-PBE) results for crystalline Nb2CoB2 at its relaxed geometry.

Computed properties:
Excess energy over the best structure of this formula in the dataset ... 0 meV/atom
Total DFT energy (no corrections) ... -8.75 eV/atom
Density of states at the Fermi level ... 3.41 states/eV/f.u.
Space group ... No. 71
Crystal system ... orthorhombic
Calculated formation energy ... -14.6 kcal/mol of atoms

abc: 3.2598 4.6538 4.6538
angles: 60.42 69.50 69.50
Fractional positions:
Nb 0.2075 0.2925 0.2925
Nb 0.7925 0.7075 0.7075
B 0.5000 0.7018 0.2982
B 0.5000 0.2982 0.7018
Co 0.0000 0.0000 0.0000


(12)
DFT (GGA-PBE) results for crystalline Nb3CoB at its relaxed geometry.

Computed properties:
Excess energy over the best structure of this formula in the dataset ... 0 meV/atom
Total DFT energy (no corrections) ... -8.55 eV/atom
Density of states at the Fermi level ... 7.30 states/eV/f.u.
Space group ... No. 221
Crystal system ... cubic
Calculated formation energy ... 5.8 kcal/mol of atoms

abc: 4.3019 4.3019 4.3019
angles: 90.00 90.00 90.00
Fractional positions:
Nb 0.0000 0.5000 0.0000
Nb 0.5000 0.0000 0.0000
Nb 0.0000 0.0000 0.5000
B 0.0000 0.0000 0.0000
Co 0.5000 0.5000 0.5000